NiMo2Os | PBE | optimized geometry

The value obtained for the calculated formation energy is 0.67 eV/atom. For the energy above the lowest structure with this stoichiometry, the calculation gives 2.74 eV per formula unit. As for the crystal system: tetragonal.

It has space group I-42d (No. 122), with a = 6.885 Å, b = 6.885 Å, c = 5.263 Å, α = 90.00°, β = 90.00° and γ = 90.00°. The distinct sites, in fractional coordinates, are Ni at (0.000, 0.000, 0.000), Mo at (0.248, 0.250, 0.625) and Os at (0.000, 0.000, 0.500).